A plane-wave DFT calculation with PBE-GGA was carried out for a geometry-optimized SmHfIr structure.

Cell and atoms, written as POSCAR:
```
SmHfIr
1.0
4.581 0.000 0.000
0.000 4.581 0.000
0.000 0.000 6.795
Sm Hf Ir
2 2 2
direct
0.250 0.250 0.132 Sm
0.750 0.750 0.868 Sm
0.250 0.750 0.500 Hf
0.750 0.250 0.500 Hf
0.250 0.250 0.708 Ir
0.750 0.750 0.292 Ir
```

Output
theoretical density	12.14	g cm⁻³
calculated total energy	-25.67	eV per formula unit

A plane-wave DFT calculation with PBE-GGA was carried out for a geometry-optimized Sm14YAl structure.

Cell and atoms, written as POSCAR:
```
Sm14YAl
1.0
11.241 0.000 0.000
0.000 4.167 5.570
0.000 -4.167 5.570
Sm Y Al
14 1 1
direct
0.000 0.000 0.000 Sm
0.000 0.435 0.435 Sm
0.000 0.504 0.929 Sm
0.000 0.929 0.504 Sm
0.242 0.797 0.797 Sm
0.266 0.234 0.234 Sm
0.268 0.307 0.719 Sm
0.268 0.719 0.307 Sm
0.500 0.518 0.942 Sm
0.500 0.942 0.518 Sm
0.732 0.307 0.719 Sm
0.732 0.719 0.307 Sm
0.734 0.234 0.234 Sm
0.758 0.797 0.797 Sm
0.500 0.001 0.001 Y
0.500 0.447 0.447 Al
```

Output
theoretical density	7.07	g cm⁻³
calculated total energy	-75.95	eV per formula unit